Entry from the Alexandria database: a geometry-optimized TmPa2P structure (PBE).

a b c (Å): 3.4178 3.4178 10.3025
angles (deg): 80.45 80.45 60.00
Last column: nearest neighbours and their distance in Å.
Fractional positions:
P  0.5000  0.5000  0.5000  6 Pa 2.73
Pa  0.1043  0.1043  0.6872  3 P 2.73
Pa  0.8957  0.8957  0.3128  3 P 2.73
Tm  0.0000  0.0000  0.0000  2 Pa 3.16, 6 Tm 3.42

Summary:
DOS(E_F)   6.40 states/eV/cell
ρ   10.7 g/cm3
Total DFT energy (no corrections)   -7.36 eV/atom
SG   R-3m (166)
Formation enthalpy at 0 K   -0.1397 eV/atom